Record 1
## ZrRe (PBE)

Data for a relaxed structure of ZrRe.

a = 5.595 Å, b = 5.595 Å, c = 6.587 Å
α = 107.12°, β = 107.12°, γ = 33.87°
Positions (direct):
Zr 0.000 0.000 0.000
Zr 0.004 0.004 0.515
Zr 0.688 0.688 0.348
Re 0.334 0.334 0.163
Re 0.334 0.334 0.683
Re 0.686 0.686 0.850

Values from the calculation:
formation energy	-146	meV/atom
V	18.2	Å³/atom
size of the total moment	0.00	μB per formula unit
density	12.6	g/cm3

***

Record 2
## Zr2Re (PBE)

Data for a relaxed structure of Zr2Re.

a = 5.515 Å, b = 5.515 Å, c = 8.855 Å
α = 90.00°, β = 90.00°, γ = 120.00°
Positions (direct):
Zr 0.000 0.000 0.000
Zr 0.000 0.000 0.500
Zr 0.175 0.350 0.250
Zr 0.175 0.825 0.250
Zr 0.350 0.175 0.750
Zr 0.650 0.825 0.250
Zr 0.825 0.175 0.750
Zr 0.825 0.650 0.750
Re 0.333 0.667 0.554
Re 0.333 0.667 0.946
Re 0.667 0.333 0.054
Re 0.667 0.333 0.446

Values from the calculation:
formation energy	668	meV/atom
V	19.4	Å³/atom
size of the total moment	0.00	μB per formula unit
density	10.5	g/cm3

***

Record 3
## Zr3Re4 (PBE)

Data for a relaxed structure of Zr3Re4.

a = 5.346 Å, b = 5.346 Å, c = 5.103 Å
α = 90.00°, β = 90.00°, γ = 120.00°
Positions (direct):
Zr 0.000 0.500 0.000
Zr 0.500 0.000 0.000
Zr 0.500 0.500 0.000
Re 0.000 0.000 0.270
Re 0.000 0.000 0.730
Re 0.333 0.667 0.500
Re 0.667 0.333 0.500

Values from the calculation:
formation energy	634	meV/atom
V	18.0	Å³/atom
size of the total moment	0.00	μB per formula unit
density	13.4	g/cm3

***

Record 4
## Zr3Re (PBE)

Data for a relaxed structure of Zr3Re.

a = 5.446 Å, b = 5.446 Å, c = 5.446 Å
α = 90.00°, β = 90.00°, γ = 90.00°
Positions (direct):
Zr 0.000 0.250 0.500
Zr 0.000 0.750 0.500
Zr 0.250 0.500 0.000
Zr 0.500 0.000 0.250
Zr 0.500 0.000 0.750
Zr 0.750 0.500 0.000
Re 0.000 0.000 0.000
Re 0.500 0.500 0.500

Values from the calculation:
formation energy	19	meV/atom
V	20.2	Å³/atom
size of the total moment	0.00	μB per formula unit
density	9.5	g/cm3

***

Record 5
## RuRh2 (PBE)

Data for a relaxed structure of RuRh2.

a = 5.164 Å, b = 5.164 Å, c = 6.427 Å
α = 103.68°, β = 103.68°, γ = 30.58°
Positions (direct):
Ru 0.000 0.000 0.000
Ru 0.660 0.660 0.324
Rh 0.275 0.275 0.050
Rh 0.330 0.330 0.660
Rh 0.606 0.606 0.718
Rh 0.942 0.942 0.381

Values from the calculation:
formation energy	23	meV/atom
V	14.1	Å³/atom
size of the total moment	0.00	μB per formula unit
density	12.1	g/cm3

***

Record 6
## RuRh2 (PBE)

Data for a relaxed structure of RuRh2.

a = 2.703 Å, b = 2.703 Å, c = 6.670 Å
α = 90.00°, β = 90.00°, γ = 120.00°
Positions (direct):
Ru 0.000 0.000 0.000
Rh 0.333 0.667 0.672
Rh 0.667 0.333 0.328

Values from the calculation:
formation energy	13	meV/atom
V	14.1	Å³/atom
size of the total moment	0.00	μB per formula unit
density	12.1	g/cm3

***

Record 7
## Ru2Rh (PBE)

Data for a relaxed structure of Ru2Rh.

a = 4.312 Å, b = 4.312 Å, c = 5.332 Å
α = 90.00°, β = 90.00°, γ = 120.00°
Positions (direct):
Ru 0.000 0.000 0.000
Ru 0.000 0.000 0.500
Ru 0.333 0.667 0.250
Ru 0.667 0.333 0.750
Rh 0.333 0.667 0.750
Rh 0.667 0.333 0.250

Values from the calculation:
formation energy	280	meV/atom
V	14.3	Å³/atom
size of the total moment	0.00	μB per formula unit
density	11.8	g/cm3

***

Record 8
## Ru2Rh (PBE)

Data for a relaxed structure of Ru2Rh.

a = 7.251 Å, b = 7.251 Å, c = 4.315 Å
α = 90.00°, β = 90.00°, γ = 158.29°
Positions (direct):
Ru 0.114 0.886 0.750
Ru 0.224 0.776 0.250
Ru 0.776 0.224 0.750
Ru 0.886 0.114 0.250
Rh 0.444 0.556 0.750
Rh 0.556 0.444 0.250

Values from the calculation:
formation energy	4	meV/atom
V	14.0	Å³/atom
size of the total moment	0.00	μB per formula unit
density	12.1	g/cm3